A plane-wave DFT calculation with PBE-GGA was carried out for an optimized crystal structure of LaMgAu2.

Cell and atoms, written as POSCAR:
```
LaMgAu2
1.0
3.960 0.000 0.000
0.000 3.962 0.000
0.000 0.000 6.344
Au Mg La
2 1 1
Direct
0.000 0.000 0.938
0.500 0.500 0.268
0.500 0.500 0.839
0.000 0.000 0.456
```

Values from the calculation:
- SG = P4mm (99)
- ΔH_f (0 K) (eV per atom) = -0.542
- theoretical density (Mg/m³) = 9.29
- spin magnetization (μB per formula unit) = 0.000

---

A plane-wave DFT calculation with PBE-GGA was carried out for an optimized crystal structure of Tl4PtBr6.

Cell and atoms, written as POSCAR:
```
Tl4PtBr6
1.0
8.798 0.000 0.000
0.000 8.798 0.000
0.000 0.000 9.538
Tl Br Pt
8 12 2
Direct
0.345 0.155 0.250
0.845 0.345 0.250
0.655 0.845 0.750
0.155 0.655 0.250
0.155 0.655 0.750
0.655 0.845 0.250
0.345 0.155 0.750
0.845 0.345 0.750
0.000 0.000 0.221
0.285 0.874 0.500
0.000 0.000 0.779
0.715 0.126 0.500
0.215 0.374 0.000
0.500 0.500 0.279
0.785 0.626 0.000
0.500 0.500 0.721
0.374 0.785 0.000
0.626 0.215 0.000
0.874 0.715 0.500
0.126 0.285 0.500
0.500 0.500 0.000
0.000 0.000 0.500
```

Values from the calculation:
- SG = P4/mnc (128)
- ΔE_f (raw) (eV/f.u.) = -6.5
- theoretical density (Mg/m³) = 6.71
- spin magnetization (μB per formula unit) = 2.036

---

A plane-wave DFT calculation with PBE-GGA was carried out for an optimized crystal structure of HoErMn17.

Cell and atoms, written as POSCAR:
```
HoErMn17
1.0
6.279 -0.150 0.573
0.510 6.260 0.573
-0.166 -0.150 6.303
Mn Ho Er
17 1 1
Direct
0.500 0.000 0.000
0.100 0.100 0.100
0.644 0.124 0.644
0.000 0.500 0.000
0.724 0.000 0.276
0.276 0.724 0.000
0.356 0.877 0.356
0.000 0.000 0.500
0.900 0.900 0.900
0.644 0.644 0.124
0.276 0.000 0.724
0.124 0.644 0.644
0.000 0.276 0.724
0.877 0.356 0.356
0.356 0.356 0.877
0.000 0.724 0.276
0.724 0.276 0.000
0.645 0.645 0.645
0.355 0.355 0.355
```

Values from the calculation:
- SG = R3m (160)
- ΔH_f (0 K) (eV per atom) = -0.008
- theoretical density (Mg/m³) = 8.43
- spin magnetization (μB per formula unit) = 4.207

---

A plane-wave DFT calculation with PBE-GGA was carried out for an optimized crystal structure of Er2InPt9.

Cell and atoms, written as POSCAR:
```
Er2InPt9
1.0
4.087 0.000 0.000
0.000 4.087 0.000
0.000 0.000 12.233
Pt Er In
9 2 1
Direct
0.500 0.000 0.164
0.000 0.500 0.164
0.000 0.500 0.836
0.500 0.000 0.500
0.500 0.500 0.000
0.500 0.000 0.836
0.000 0.500 0.500
0.500 0.500 0.669
0.500 0.500 0.331
0.000 0.000 0.332
0.000 0.000 0.668
0.000 0.000 0.000
```

Values from the calculation:
- SG = P4/mmm (123)
- ΔH_f (0 K) (eV per atom) = -0.836
- theoretical density (Mg/m³) = 17.92
- spin magnetization (μB per formula unit) = 0.000

---

A plane-wave DFT calculation with PBE-GGA was carried out for an optimized crystal structure of NdYMgZn.

Cell and atoms, written as POSCAR:
```
NdYMgZn
1.0
5.278 0.000 0.000
2.639 4.571 0.000
2.639 1.524 4.310
Zn Nd Y Mg
1 1 1 1
Direct
0.000 0.000 0.000
0.250 0.250 0.250
0.750 0.750 0.750
0.500 0.500 0.500
```

Values from the calculation:
- SG = F-43m (216)
- ΔH_f (0 K) (eV per atom) = -0.188
- theoretical density (Mg/m³) = 5.16
- spin magnetization (μB per formula unit) = 0.000
- offset from the most stable computed form (eV/atom) = 0.029

---

A plane-wave DFT calculation with PBE-GGA was carried out for an optimized crystal structure of Ce2Zn3Ni2.

Cell and atoms, written as POSCAR:
```
Ce2Zn3Ni2
1.0
-0.905 2.931 3.086
-0.111 -4.830 1.487
6.271 1.902 0.031
Ce Ni Zn
2 2 3
Direct
0.358 0.716 0.622
0.642 0.284 0.378
0.916 0.831 0.310
0.084 0.169 0.690
0.000 0.000 0.000
0.704 0.409 0.886
0.296 0.591 0.114
```

Values from the calculation:
- SG = C2/m (12)
- ΔH_f (0 K) (eV per atom) = -0.307
- theoretical density (Mg/m³) = 8.03
- spin magnetization (μB per formula unit) = 0.000
- offset from the most stable computed form (eV/atom) = 0.047

---

A plane-wave DFT calculation with PBE-GGA was carried out for an optimized crystal structure of Pu2Mg2Ru3.

Cell and atoms, written as POSCAR:
```
Pu2Mg2Ru3
1.0
-4.289 0.216 -1.552
1.198 -3.258 2.969
0.642 5.423 5.701
Mg Pu Ru
2 2 3
Direct
0.729 0.865 0.593
0.271 0.135 0.407
0.224 0.612 0.835
0.776 0.388 0.165
0.518 0.259 0.779
0.000 0.000 0.000
0.482 0.741 0.221
```

Values from the calculation:
- SG = C2/m (12)
- ΔH_f (0 K) (eV per atom) = -0.095
- theoretical density (Mg/m³) = 10.38
- spin magnetization (μB per formula unit) = 8.074

---

A plane-wave DFT calculation with PBE-GGA was carried out for an optimized crystal structure of VNi3Pb.

Cell and atoms, written as POSCAR:
```
VNi3Pb
1.0
4.435 0.000 0.000
0.000 4.435 0.000
0.000 0.000 4.435
Ni V Pb
3 1 1
Direct
0.000 0.500 0.000
0.500 0.000 0.000
0.000 0.000 0.500
0.000 0.000 0.000
0.500 0.500 0.500
```

Values from the calculation:
- SG = Pm-3m (221)
- ΔH_f (0 K) (eV per atom) = 0.829
- theoretical density (Mg/m³) = 8.27
- spin magnetization (μB per formula unit) = 1.093
- offset from the most stable computed form (eV/atom) = 0.000

---

A plane-wave DFT calculation with PBE-GGA was carried out for an optimized crystal structure of HfTi3Zn.

Cell and atoms, written as POSCAR:
```
HfTi3Zn
1.0
4.839 0.000 0.000
0.000 4.839 0.000
0.000 0.000 4.839
Zn Ti Hf
1 3 1
Direct
0.500 0.500 0.500
0.500 0.000 0.000
0.000 0.000 0.500
0.000 0.500 0.000
0.000 0.000 0.000
```

Values from the calculation:
- SG = Pm-3m (221)
- ΔH_f (0 K) (eV per atom) = 1.234
- theoretical density (Mg/m³) = 5.68
- spin magnetization (μB per formula unit) = 0.047
- offset from the most stable computed form (eV/atom) = 1.217

---

A plane-wave DFT calculation with PBE-GGA was carried out for an optimized crystal structure of ZrMn2RhN.

Cell and atoms, written as POSCAR:
```
ZrMn2RhN
1.0
-2.906 0.305 -2.606
2.562 -0.512 -2.916
-0.645 -4.394 0.205
Zr N Mn Rh
1 1 2 1
Direct
0.000 0.000 0.500
0.000 0.000 0.000
0.500 0.000 0.000
0.000 0.500 0.000
0.500 0.500 0.500
```

Values from the calculation:
- SG = P4/mmm (123)
- ΔE_f (raw) (eV/f.u.) = -2.6
- theoretical density (Mg/m³) = 7.75
- spin magnetization (μB per formula unit) = 5.712

---

A plane-wave DFT calculation with PBE-GGA was carried out for an optimized crystal structure of SbSF3.

Cell and atoms, written as POSCAR:
```
SbSF3
1.0
-1.152 -3.870 1.619
3.415 0.109 2.693
-2.436 1.984 3.009
F Sb S
3 1 1
Direct
0.000 0.000 0.500
0.000 0.500 0.000
0.500 0.000 0.000
0.500 0.500 0.500
0.000 0.000 0.000
```

Values from the calculation:
- SG = Pm-3m (221)
- ΔE_f (raw) (eV/f.u.) = -1.5
- theoretical density (Mg/m³) = 4.25
- spin magnetization (μB per formula unit) = 0.000
- offset from the most stable computed form (eV/atom) = 1.169

---

A plane-wave DFT calculation with PBE-GGA was carried out for an optimized crystal structure of Sc4AlGa.

Cell and atoms, written as POSCAR:
```
Sc4AlGa
1.0
3.384 0.000 0.000
0.000 7.793 0.015
0.000 -0.012 5.158
Ga Sc Al
1 4 1
Direct
0.000 0.000 0.000
0.000 0.201 0.500
0.500 0.707 0.000
0.500 0.293 0.000
0.000 0.799 0.500
0.500 0.500 0.500
```

Values from the calculation:
- SG = Pmmm (47)
- ΔH_f (0 K) (eV per atom) = -0.139
- theoretical density (Mg/m³) = 3.38
- spin magnetization (μB per formula unit) = 0.000
- offset from the most stable computed form (eV/atom) = 0.000